a:
{"formula": "La3AlIn", "functional": "PBE", "state": "optimized geometry", "lattice_angstrom": [[5.7455, 0.0000, 0.0000], [0.0000, 5.7455, 0.0000], [0.0000, 0.0000, 5.7455]], "species": ["La", "Al", "La", "La", "In"], "fractional_positions": [[0.5000, 0.0000, 0.0000], [0.0000, 0.0000, 0.0000], [0.0000, 0.5000, 0.0000], [0.0000, 0.0000, 0.5000], [0.5000, 0.5000, 0.5000]], "total_magnetization_mub_per_fu": 0.00, "density_g_cm3": 4.9, "spacegroup": "Pm-3m"}

b:
{"formula": "La3AlIn", "functional": "PBE", "state": "optimized geometry", "lattice_angstrom": [[5.4918, 0.0000, 1.2550], [0.0000, 5.6418, 0.0000], [0.6059, 0.0000, 9.9917]], "species": ["La", "Al", "In", "In", "La", "La", "La", "Al", "La", "La"], "fractional_positions": [[0.7692, 0.2500, 0.1099], [0.6749, 0.7500, 0.2986], [0.1727, 0.2500, 0.3029], [0.4756, 0.7500, 0.6971], [0.8791, 0.7500, 0.8901], [0.0710, 0.7500, 0.5063], [0.2582, 0.7500, 0.1320], [0.9735, 0.2500, 0.7014], [0.3902, 0.2500, 0.8680], [0.5773, 0.2500, 0.4937]], "total_magnetization_mub_per_fu": 0.00, "density_g_cm3": 6.1, "spacegroup": "Cmcm"}

It turns out b is the most stable, with the second structure 400 meV per atom higher.

a:
{"formula": "LaNdAlIn", "functional": "PBE", "state": "optimized geometry", "lattice_angstrom": [[5.4384, 0.0000, 0.0000], [2.7192, 4.7098, 0.0000], [2.7192, 1.5699, 4.4404]], "species": ["Nd", "In", "La", "Al"], "fractional_positions": [[0.0000, 0.0000, 0.0000], [0.2500, 0.2500, 0.2500], [0.5000, 0.5000, 0.5000], [0.7500, 0.7500, 0.7500]], "total_magnetization_mub_per_fu": 0.00, "density_g_cm3": 6.2, "spacegroup": "F-43m"}

b:
{"formula": "LaNdAlIn", "functional": "PBE", "state": "optimized geometry", "lattice_angstrom": [[3.8264, 0.0000, 0.0000], [0.0000, 3.8264, 0.0000], [0.0000, 0.0000, 7.7563]], "species": ["Nd", "La", "Al", "In"], "fractional_positions": [[0.5000, 0.5000, 0.5965], [0.5000, 0.5000, 0.1182], [0.0000, 0.0000, 0.3655], [0.0000, 0.0000, 0.8478]], "total_magnetization_mub_per_fu": 0.00, "density_g_cm3": 6.2, "spacegroup": "P4mm"}

It turns out b is the most stable, with the second structure 13 meV per atom higher.

a:
{"formula": "LaPrAlIn", "functional": "PBE", "state": "optimized geometry", "lattice_angstrom": [[-3.7448, 3.9710, -0.0232], [-4.8844, -0.8415, 2.2864], [-1.3115, 2.5417, 4.6489]], "species": ["Al", "In", "Pr", "La"], "fractional_positions": [[0.7500, 0.7500, 0.7500], [0.2500, 0.2500, 0.2500], [0.0000, 0.0000, 0.0000], [0.5000, 0.5000, 0.5000]], "total_magnetization_mub_per_fu": 0.00, "density_g_cm3": 6.1, "spacegroup": "F-43m"}

b:
{"formula": "LaPrAlIn", "functional": "PBE", "state": "optimized geometry", "lattice_angstrom": [[3.8422, 0.0000, 0.0000], [0.0000, 3.8422, 0.0000], [0.0000, 0.0000, 7.7805]], "species": ["Pr", "Al", "La", "In"], "fractional_positions": [[0.5000, 0.5000, 0.5965], [0.0000, 0.0000, 0.3627], [0.5000, 0.5000, 0.1180], [0.0000, 0.0000, 0.8507]], "total_magnetization_mub_per_fu": 0.00, "density_g_cm3": 6.1, "spacegroup": "P4mm"}

It turns out b is the most stable, with the second structure 12 meV per atom higher.

a:
{"formula": "LaSmAlIn", "functional": "PBE", "state": "optimized geometry", "lattice_angstrom": [[-0.9707, -2.0934, 3.0214], [3.6107, -1.1283, 0.3784], [1.3959, 6.0154, 4.6164]], "species": ["In", "Sm", "Al", "La"], "fractional_positions": [[0.0000, 0.0000, 0.8430], [0.5000, 0.5000, 0.5968], [0.0000, 0.0000, 0.3701], [0.5000, 0.5000, 0.1181]], "total_magnetization_mub_per_fu": 0.00, "density_g_cm3": 6.4, "spacegroup": "P4mm"}

b:
{"formula": "LaSmAlIn", "functional": "PBE", "state": "optimized geometry", "lattice_angstrom": [[5.4068, 0.0000, 0.0000], [2.7034, 4.6825, 0.0000], [2.7034, 1.5608, 4.4147]], "species": ["Sm", "La", "Al", "In"], "fractional_positions": [[0.5000, 0.5000, 0.5000], [0.0000, 0.0000, 0.0000], [0.7500, 0.7500, 0.7500], [0.2500, 0.2500, 0.2500]], "total_magnetization_mub_per_fu": 0.00, "density_g_cm3": 6.4, "spacegroup": "F-43m"}

It turns out a is the most stable, with the second structure 15 meV per atom higher.

a:
{"formula": "LaTbAlIn", "functional": "PBE", "state": "optimized geometry", "lattice_angstrom": [[-1.7782, -4.9915, -0.8444], [3.3963, -3.8164, -1.6402], [1.4117, -3.9524, 3.3431]], "species": ["La", "Al", "Tb", "In"], "fractional_positions": [[0.5000, 0.5000, 0.5000], [0.7500, 0.7500, 0.7500], [0.0000, 0.0000, 0.0000], [0.2500, 0.2500, 0.2500]], "total_magnetization_mub_per_fu": 0.00, "density_g_cm3": 6.7, "spacegroup": "F-43m"}

b:
{"formula": "LaTbAlIn", "functional": "PBE", "state": "optimized geometry", "lattice_angstrom": [[3.7634, 0.0000, 0.0000], [0.0000, 3.7634, 0.0000], [0.0000, 0.0000, 7.6764]], "species": ["La", "Al", "Tb", "In"], "fractional_positions": [[0.5000, 0.5000, 0.1185], [0.0000, 0.0000, 0.3756], [0.5000, 0.5000, 0.5967], [0.0000, 0.0000, 0.8372]], "total_magnetization_mub_per_fu": 0.00, "density_g_cm3": 6.7, "spacegroup": "P4mm"}

It turns out b is the most stable, with the second structure 18 meV per atom higher.

a:
{"formula": "LaYAlIn", "functional": "PBE", "state": "optimized geometry", "lattice_angstrom": [[-3.9043, 1.8009, -3.1977], [-4.9842, 0.5297, 1.8944], [-2.0645, 4.8825, 0.7810]], "species": ["La", "Al", "Y", "In"], "fractional_positions": [[0.2500, 0.2500, 0.2500], [0.5000, 0.5000, 0.5000], [0.7500, 0.7500, 0.7500], [0.0000, 0.0000, 0.0000]], "total_magnetization_mub_per_fu": 0.00, "density_g_cm3": 5.6, "spacegroup": "F-43m"}

b:
{"formula": "LaYAlIn", "functional": "PBE", "state": "optimized geometry", "lattice_angstrom": [[-0.0350, 3.4428, 1.4883], [-3.7314, -0.1825, 0.3345], [0.7791, -3.0334, 7.0353]], "species": ["Al", "Y", "In", "La"], "fractional_positions": [[0.0000, 0.0000, 0.3762], [0.5000, 0.5000, 0.5967], [0.0000, 0.0000, 0.8365], [0.5000, 0.5000, 0.1186]], "total_magnetization_mub_per_fu": 0.00, "density_g_cm3": 5.7, "spacegroup": "P4mm"}

It turns out b is the most stable, with the second structure 17 meV per atom higher.

a:
{"formula": "LiAlIn", "functional": "PBE", "state": "optimized geometry", "lattice_angstrom": [[4.2655, -0.0688, 0.0280], [-2.1467, 4.7202, 0.0745], [-0.0630, -1.8785, 5.7260]], "species": ["Li", "Al", "In", "In", "Al", "Li"], "fractional_positions": [[0.2311, 0.4529, 0.0762], [0.2401, 0.4647, 0.5864], [0.5828, 0.1539, 0.2586], [0.8976, 0.7821, 0.9118], [0.5692, 0.1200, 0.7385], [0.9155, 0.8151, 0.4264]], "total_magnetization_mub_per_fu": 0.00, "density_g_cm3": 4.3, "spacegroup": "P1"}

b:
{"formula": "LiAlIn", "functional": "PBE", "state": "optimized geometry", "lattice_angstrom": [[4.7507, 0.0000, 0.0000], [-2.3754, 4.1143, 0.0000], [0.0000, 0.0000, 3.1798]], "species": ["Al", "In", "Li"], "fractional_positions": [[0.0000, 0.0000, 0.1636], [0.6667, 0.3333, 0.1700], [0.3333, 0.6667, 0.6664]], "total_magnetization_mub_per_fu": 0.00, "density_g_cm3": 4.0, "spacegroup": "P3m1"}

c:
{"formula": "LiAlIn", "functional": "PBE", "state": "optimized geometry", "lattice_angstrom": [[-3.5947, 3.9726, -0.0018], [-0.4229, -0.3840, -3.0001], [-5.2833, -4.7795, 2.9110]], "species": ["In", "Li", "In", "Li", "Al", "Al"], "fractional_positions": [[0.5000, 0.8186, 0.6371], [0.2500, 0.0004, 0.0000], [0.0000, 0.1814, 0.3629], [0.7500, 0.9996, 0.0000], [0.5000, 0.6316, 0.2633], [0.0000, 0.3684, 0.7367]], "total_magnetization_mub_per_fu": 0.00, "density_g_cm3": 4.0, "spacegroup": "Cmcm"}

It turns out a is the most stable, with the second structure 56 meV per atom higher.

a:
{"formula": "Li4AlIn", "functional": "PBE", "state": "optimized geometry", "lattice_angstrom": [[4.2050, -0.0328, -1.9317], [-2.7701, 4.5723, -0.6526], [-0.0317, 0.0563, 5.3853]], "species": ["Li", "Li", "Li", "Li", "In", "Al"], "fractional_positions": [[0.7525, 0.9198, 0.0853], [0.2475, 0.0802, 0.9147], [0.7525, 0.5853, 0.4198], [0.2475, 0.4147, 0.5802], [0.0000, 0.5000, 0.0000], [0.5000, 0.0000, 0.5000]], "total_magnetization_mub_per_fu": 0.00, "density_g_cm3": 2.7, "spacegroup": "C2/m"}

b:
{"formula": "Li4AlIn", "functional": "PBE", "state": "optimized geometry", "lattice_angstrom": [[-3.7104, -2.2467, -2.9992], [-3.9166, 2.9234, -1.9809], [-0.1791, 1.0116, -5.1725]], "species": ["Li", "Li", "In", "Li", "Al", "Li"], "fractional_positions": [[0.8738, 0.3754, 0.3754], [0.3754, 0.3754, 0.8738], [0.0000, 0.0000, 0.0000], [0.3754, 0.3754, 0.3754], [0.7500, 0.7500, 0.7500], [0.3754, 0.8738, 0.3754]], "total_magnetization_mub_per_fu": 0.58, "density_g_cm3": 2.7, "spacegroup": "F-43m"}

It turns out a is the most stable, with the second structure 177 meV per atom higher.

a:
{"formula": "Li8AlIn2", "functional": "PBE", "state": "optimized geometry", "lattice_angstrom": [[-4.1698, -0.2731, 2.4680], [-3.8617, -6.2451, 1.4077], [1.5770, -3.9770, 6.5361]], "species": ["Li", "Al", "In", "Li", "In", "Li", "Li", "Li", "Li", "Li", "Li"], "fractional_positions": [[0.1869, 0.9021, 0.7596], [0.5000, 0.0000, 0.0000], [0.0000, 0.6871, 0.6258], [0.8131, 0.3383, 0.7596], [0.0000, 0.3129, 0.3742], [0.5000, 0.2024, 0.5953], [0.8131, 0.0979, 0.2404], [0.2959, 0.4192, 0.0000], [0.1869, 0.6617, 0.2404], [0.7041, 0.5808, 0.0000], [0.5000, 0.7976, 0.4047]], "total_magnetization_mub_per_fu": 0.00, "density_g_cm3": 2.6, "spacegroup": "C2/m"}

b:
{"formula": "Li8AlIn2", "functional": "PBE", "state": "optimized geometry", "lattice_angstrom": [[-3.1317, -3.2177, -1.0560], [4.9187, -4.9755, 0.6162], [-2.8668, 0.7131, 6.3720]], "species": ["In", "Li", "In", "Li", "Li", "Li", "Li", "Li", "Li", "Al", "Li"], "fractional_positions": [[0.0000, 0.6261, 0.3739], [0.0008, 0.2872, 0.0352], [0.0000, 0.3739, 0.6261], [0.9992, 0.7128, 0.9648], [0.5000, 0.2411, 0.7589], [0.0008, 0.0352, 0.2872], [0.5001, 0.3299, 0.3299], [0.9992, 0.9648, 0.7128], [0.5000, 0.7589, 0.2411], [0.5000, 0.0000, 0.0000], [0.4999, 0.6701, 0.6701]], "total_magnetization_mub_per_fu": 0.00, "density_g_cm3": 2.4, "spacegroup": "C2/m"}

It turns out b is the most stable, with the second structure 8 meV per atom higher.

a:
{"formula": "Li2AlIn2", "functional": "PBE", "state": "optimized geometry", "lattice_angstrom": [[-3.2757, 3.9364, 5.4422], [-6.6719, -2.6045, -2.1320], [0.3848, -2.8814, 2.3158]], "species": ["In", "Al", "Li", "In", "In", "Li", "Al", "Li", "Li", "In"], "fractional_positions": [[0.6427, 0.1427, 0.0000], [0.0000, 0.0000, 0.0000], [0.6590, 0.8410, 0.5000], [0.3573, 0.8573, 0.0000], [0.8573, 0.6427, 0.0000], [0.8410, 0.3410, 0.5000], [0.5000, 0.5000, 0.0000], [0.1590, 0.6590, 0.5000], [0.3410, 0.1590, 0.5000], [0.1427, 0.3573, 0.0000]], "total_magnetization_mub_per_fu": 0.00, "density_g_cm3": 4.3, "spacegroup": "P4/mbm"}

b:
{"formula": "Li2AlIn2", "functional": "PBE", "state": "optimized geometry", "lattice_angstrom": [[4.0859, 0.0000, 1.2341], [1.5493, 4.5201, 2.2515], [-1.0846, 1.3652, 10.9715]], "species": ["Li", "Al", "In", "In", "In", "Li", "Li", "In", "Al", "Li"], "fractional_positions": [[0.6563, 0.7408, 0.4468], [0.7498, 0.2500, 0.7500], [0.0581, 0.7357, 0.6478], [0.9419, 0.2643, 0.3522], [0.4415, 0.7643, 0.8522], [0.8439, 0.7592, 0.0532], [0.3437, 0.2592, 0.5532], [0.5585, 0.2357, 0.1478], [0.2502, 0.7500, 0.2500], [0.1561, 0.2408, 0.9468]], "total_magnetization_mub_per_fu": 0.00, "density_g_cm3": 4.5, "spacegroup": "C2/m"}

It turns out b is the most stable, with the second structure 75 meV per atom higher.

a:
{"formula": "Li2AlIn2", "functional": "PBE", "state": "optimized geometry", "lattice_angstrom": [[7.0496, 0.0000, 0.0000], [0.0000, 7.0496, 0.0000], [0.0000, 0.0000, 3.9744]], "species": ["Al", "Li", "Li", "In", "Li", "In", "Al", "Li", "In", "In"], "fractional_positions": [[0.5000, 0.5000, 0.0000], [0.6380, 0.1380, 0.0000], [0.3620, 0.8620, 0.0000], [0.6651, 0.8349, 0.5000], [0.8620, 0.6380, 0.0000], [0.3349, 0.1651, 0.5000], [0.0000, 0.0000, 0.0000], [0.1380, 0.3620, 0.0000], [0.8349, 0.3349, 0.5000], [0.1651, 0.6651, 0.5000]], "total_magnetization_mub_per_fu": 0.00, "density_g_cm3": 4.5, "spacegroup": "P4/mbm"}

b:
{"formula": "Li2AlIn2", "functional": "PBE", "state": "optimized geometry", "lattice_angstrom": [[3.8798, 0.0000, 0.0000], [0.0000, 3.8798, 0.0000], [1.9399, 1.9399, 7.0290]], "species": ["Li", "Li", "In", "Al", "In"], "fractional_positions": [[0.2500, 0.7500, 0.5000], [0.7500, 0.2500, 0.5000], [0.6021, 0.6021, 0.7959], [0.0000, 0.0000, 0.0000], [0.3979, 0.3979, 0.2041]], "total_magnetization_mub_per_fu": 0.00, "density_g_cm3": 4.2, "spacegroup": "I4/mmm"}

It turns out a is the most stable, with the second structure 56 meV per atom higher.